# 1
# LiAsBrO2 | Alexandria via LeMat-Bulk | PBE | optimized geometry
# Fermi-level density of states = 0.357 states/eV/atom
# ΔE_f (raw) = -1152 meV/atom
# volume = 16.74 Å³/atom
# magnetic moment = 0.0 Bohr magnetons per cell
# space-group type = P2_1/m
data_LiAsBrO2
_space_group_name_H-M_alt 'P 1'
_space_group_IT_number 1
_cell_length_a 3.988
_cell_length_b 6.704
_cell_length_c 7.059
_cell_angle_alpha 117.45
_cell_angle_beta 90.00
_cell_angle_gamma 90.00
loop_
_space_group_symop_operation_xyz
'x,y,z'
loop_
_atom_site_label
_atom_site_fract_x
_atom_site_fract_y
_atom_site_fract_z
As1 0.750 0.370 0.574
As2 0.250 0.630 0.426
O1 0.250 0.473 0.148
O2 0.750 0.567 0.452
O3 0.750 0.527 0.852
O4 0.250 0.433 0.548
Li1 0.750 0.372 0.041
Li2 0.250 0.628 0.959
Br1 0.750 0.951 0.220
Br2 0.250 0.049 0.780

=====

# 2
# YSc2Cr | Alexandria via LeMat-Bulk | PBE | optimized geometry
# Fermi-level density of states = 1.068 states/eV/atom
# E_form = 0.341 eV per atom
# volume = 23.35 Å³/atom
# magnetic moment = 2.7 Bohr magnetons per cell
# space-group type = R-3m
data_YSc2Cr
_space_group_name_H-M_alt 'P 1'
_space_group_IT_number 1
_cell_length_a 10.238
_cell_length_b 10.238
_cell_length_c 10.238
_cell_angle_alpha 18.40
_cell_angle_beta 18.40
_cell_angle_gamma 18.40
loop_
_space_group_symop_operation_xyz
'x,y,z'
loop_
_atom_site_label
_atom_site_fract_x
_atom_site_fract_y
_atom_site_fract_z
Y1 0.250 0.250 0.250
Sc1 0.013 0.013 0.013
Sc2 0.487 0.487 0.487
Cr1 0.750 0.750 0.750

=====

# 3
# NaTc3Ru | Alexandria via LeMat-Bulk | PBE | optimized geometry
# Fermi-level density of states = 1.329 states/eV/atom
# E_form = 1.613 eV per atom
# volume = 21.13 Å³/atom
# magnetic moment = 2.9 Bohr magnetons per cell
# space-group type = Pm-3m
data_NaTc3Ru
_space_group_name_H-M_alt 'P 1'
_space_group_IT_number 1
_cell_length_a 4.728
_cell_length_b 4.728
_cell_length_c 4.728
_cell_angle_alpha 90.00
_cell_angle_beta 90.00
_cell_angle_gamma 90.00
loop_
_space_group_symop_operation_xyz
'x,y,z'
loop_
_atom_site_label
_atom_site_fract_x
_atom_site_fract_y
_atom_site_fract_z
Tc1 0.000 0.000 0.500
Tc2 0.500 0.000 0.000
Tc3 0.000 0.500 0.000
Ru1 0.000 0.000 0.000
Na1 0.500 0.500 0.500

=====

# 4
# BeZnFe | Alexandria via LeMat-Bulk | PBE | optimized geometry
# Fermi-level density of states = 0.538 states/eV/atom
# E_form = 0.013 eV per atom
# volume = 10.99 Å³/atom
# magnetic moment = 7.6 Bohr magnetons per cell
# space-group type = C2/m
data_BeZnFe
_space_group_name_H-M_alt 'P 1'
_space_group_IT_number 1
_cell_length_a 5.227
_cell_length_b 3.084
_cell_length_c 8.671
_cell_angle_alpha 90.00
_cell_angle_beta 109.44
_cell_angle_gamma 90.00
loop_
_space_group_symop_operation_xyz
'x,y,z'
loop_
_atom_site_label
_atom_site_fract_x
_atom_site_fract_y
_atom_site_fract_z
Be1 0.000 0.500 0.000
Be2 0.000 0.000 0.500
Be3 0.500 0.500 0.000
Be4 0.500 0.000 0.500
Zn1 0.176 0.500 0.341
Zn2 0.824 0.500 0.659
Zn3 0.176 0.000 0.841
Zn4 0.824 0.000 0.159
Fe1 0.663 0.500 0.345
Fe2 0.337 0.500 0.655
Fe3 0.337 0.000 0.155
Fe4 0.663 0.000 0.845

=====

# 5
# TaFeSb2 | Alexandria via LeMat-Bulk | PBE | optimized geometry
# Fermi-level density of states = 1.357 states/eV/atom
# ΔE_f (raw) = 335 meV/atom
# volume = 19.17 Å³/atom
# magnetic moment = 2.3 Bohr magnetons per cell
# space-group type = R-3m
data_TaFeSb2
_space_group_name_H-M_alt 'P 1'
_space_group_IT_number 1
_cell_length_a 8.677
_cell_length_b 8.677
_cell_length_c 8.677
_cell_angle_alpha 21.47
_cell_angle_beta 21.47
_cell_angle_gamma 21.47
loop_
_space_group_symop_operation_xyz
'x,y,z'
loop_
_atom_site_label
_atom_site_fract_x
_atom_site_fract_y
_atom_site_fract_z
Ta1 0.250 0.250 0.250
Fe1 0.750 0.750 0.750
Sb1 0.493 0.493 0.493
Sb2 0.007 0.007 0.007

=====

# 6
# Ca3AcLa3 | Alexandria via LeMat-Bulk | PBE | optimized geometry
# Fermi-level density of states = 1.412 states/eV/atom
# E_form = 0.033 eV per atom
# volume = 40.14 Å³/atom
# magnetic moment = 0.0 Bohr magnetons per cell
# space-group type = P6_3/m
data_Ca3AcLa3
_space_group_name_H-M_alt 'P 1'
_space_group_IT_number 1
_cell_length_a 6.137
_cell_length_b 10.283
_cell_length_c 10.283
_cell_angle_alpha 120.00
_cell_angle_beta 90.00
_cell_angle_gamma 90.00
loop_
_space_group_symop_operation_xyz
'x,y,z'
loop_
_atom_site_label
_atom_site_fract_x
_atom_site_fract_y
_atom_site_fract_z
Ca1 0.250 0.756 0.949
Ca2 0.750 0.807 0.756
Ca3 0.750 0.949 0.193
Ca4 0.250 0.051 0.807
Ca5 0.750 0.244 0.051
Ca6 0.250 0.193 0.244
Ac1 0.250 0.333 0.667
Ac2 0.750 0.667 0.333
La1 0.250 0.487 0.104
La2 0.750 0.383 0.487
La3 0.250 0.896 0.383
La4 0.250 0.617 0.513
La5 0.750 0.104 0.617
La6 0.750 0.513 0.896

=====

# 7
# Si2NiW | Alexandria via LeMat-Bulk | PBE | optimized geometry
# Fermi-level density of states = 0.737 states/eV/atom
# ΔE_f (raw) = 20 meV/atom
# volume = 13.35 Å³/atom
# magnetic moment = 0.0 Bohr magnetons per cell
# space-group type = Cmmm
data_Si2NiW
_space_group_name_H-M_alt 'P 1'
_space_group_IT_number 1
_cell_length_a 2.772
_cell_length_b 2.772
_cell_length_c 7.191
_cell_angle_alpha 90.00
_cell_angle_beta 90.00
_cell_angle_gamma 105.02
loop_
_space_group_symop_operation_xyz
'x,y,z'
loop_
_atom_site_label
_atom_site_fract_x
_atom_site_fract_y
_atom_site_fract_z
Si1 0.000 0.000 0.981
Si2 0.000 0.000 0.519
Ni1 0.500 0.500 0.750
W1 0.500 0.500 0.250

=====

# 8
# Ba6Ag2PtBr3 | Alexandria via LeMat-Bulk | PBE | optimized geometry
# Fermi-level density of states = 0.557 states/eV/atom
# ΔE_f (raw) = -1046 meV/atom
# volume = 40.29 Å³/atom
# magnetic moment = 0.0 Bohr magnetons per cell
# space-group type = C2/m
data_Ba6Ag2PtBr3
_space_group_name_H-M_alt 'P 1'
_space_group_IT_number 1
_cell_length_a 8.110
_cell_length_b 8.110
_cell_length_c 8.909
_cell_angle_alpha 98.74
_cell_angle_beta 98.74
_cell_angle_gamma 120.00
loop_
_space_group_symop_operation_xyz
'x,y,z'
loop_
_atom_site_label
_atom_site_fract_x
_atom_site_fract_y
_atom_site_fract_z
Ba1 0.926 0.612 0.779
Ba2 0.074 0.388 0.221
Ba3 0.240 0.240 0.779
Ba4 0.388 0.074 0.221
Ba5 0.760 0.760 0.221
Ba6 0.612 0.926 0.779
Pt1 0.000 0.000 0.000
Br1 0.167 0.833 0.500
Br2 0.833 0.167 0.500
Br3 0.500 0.500 0.500
Ag1 0.667 0.333 0.000
Ag2 0.333 0.667 0.000

=====

# 9
# Tb2Sc2Pb2N | Alexandria via LeMat-Bulk | PBE | optimized geometry
# Fermi-level density of states = 0.837 states/eV/atom
# ΔE_f (raw) = -956 meV/atom
# volume = 23.16 Å³/atom
# magnetic moment = 0.3 Bohr magnetons per cell
# space-group type = I4/mmm
data_Tb2Sc2Pb2N
_space_group_name_H-M_alt 'P 1'
_space_group_IT_number 1
_cell_length_a 4.502
_cell_length_b 4.502
_cell_length_c 8.612
_cell_angle_alpha 105.15
_cell_angle_beta 105.15
_cell_angle_gamma 90.00
loop_
_space_group_symop_operation_xyz
'x,y,z'
loop_
_atom_site_label
_atom_site_fract_x
_atom_site_fract_y
_atom_site_fract_z
Sc1 0.500 0.000 0.000
Sc2 0.000 0.500 0.000
Tb1 0.842 0.842 0.684
Tb2 0.158 0.158 0.316
Pb1 0.362 0.362 0.724
Pb2 0.638 0.638 0.276
N1 0.000 0.000 0.000

=====

# 10
# LiTmTiRh | Alexandria via LeMat-Bulk | PBE | optimized geometry
# Fermi-level density of states = 0.830 states/eV/atom
# E_form = -0.336 eV per atom
# volume = 17.65 Å³/atom
# magnetic moment = 0.6 Bohr magnetons per cell
# space-group type = F-43m
data_LiTmTiRh
_space_group_name_H-M_alt 'P 1'
_space_group_IT_number 1
_cell_length_a 4.639
_cell_length_b 4.639
_cell_length_c 4.639
_cell_angle_alpha 60.00
_cell_angle_beta 60.00
_cell_angle_gamma 60.00
loop_
_space_group_symop_operation_xyz
'x,y,z'
loop_
_atom_site_label
_atom_site_fract_x
_atom_site_fract_y
_atom_site_fract_z
Tm1 0.000 0.000 0.000
Ti1 0.500 0.500 0.500
Rh1 0.750 0.750 0.750
Li1 0.250 0.250 0.250

=====

# 11
# Li2Cd2Hg | Alexandria via LeMat-Bulk | PBE | optimized geometry
# Fermi-level density of states = 0.329 states/eV/atom
# E_form = -0.193 eV per atom
# volume = 20.11 Å³/atom
# magnetic moment = 0.0 Bohr magnetons per cell
# space-group type = P4/mbm
data_Li2Cd2Hg
_space_group_name_H-M_alt 'P 1'
_space_group_IT_number 1
_cell_length_a 7.729
_cell_length_b 7.729
_cell_length_c 3.367
_cell_angle_alpha 90.00
_cell_angle_beta 90.00
_cell_angle_gamma 90.00
loop_
_space_group_symop_operation_xyz
'x,y,z'
loop_
_atom_site_label
_atom_site_fract_x
_atom_site_fract_y
_atom_site_fract_z
Li1 0.337 0.163 0.500
Li2 0.663 0.837 0.500
Li3 0.163 0.663 0.500
Li4 0.837 0.337 0.500
Hg1 0.000 0.000 0.000
Hg2 0.500 0.500 0.000
Cd1 0.366 0.866 0.000
Cd2 0.134 0.366 0.000
Cd3 0.634 0.134 0.000
Cd4 0.866 0.634 0.000

=====

# 12
# Li2HgPt2 | Alexandria via LeMat-Bulk | PBE | optimized geometry
# Fermi-level density of states = 0.233 states/eV/atom
# E_form = -0.316 eV per atom
# volume = 15.09 Å³/atom
# magnetic moment = 0.0 Bohr magnetons per cell
# space-group type = P4/mbm
data_Li2HgPt2
_space_group_name_H-M_alt 'P 1'
_space_group_IT_number 1
_cell_length_a 7.249
_cell_length_b 7.249
_cell_length_c 2.872
_cell_angle_alpha 90.00
_cell_angle_beta 90.00
_cell_angle_gamma 90.00
loop_
_space_group_symop_operation_xyz
'x,y,z'
loop_
_atom_site_label
_atom_site_fract_x
_atom_site_fract_y
_atom_site_fract_z
Li1 0.880 0.620 0.000
Li2 0.620 0.120 0.000
Li3 0.380 0.880 0.000
Li4 0.120 0.380 0.000
Hg1 0.500 0.500 0.000
Hg2 0.000 0.000 0.000
Pt1 0.823 0.323 0.500
Pt2 0.677 0.823 0.500
Pt3 0.323 0.177 0.500
Pt4 0.177 0.677 0.500